# 1
Below is crystalline Ni4Ge2Sb at its relaxed geometry, with properties calculated at the PBE level.

Values from the calculation:
- calculated density (Mg/m³) = 6.369
- E_form (uncorrected) (eV/atom) = 0.601
- DOS at the Fermi energy (states/eV/cell) = 6.66
- SG = I4/mmm (139)
- total magnetic moment (μB/atom) = 0.049

CIF file:
```
data_Ni4Ge2Sb
_chemical_formula_sum 'Ni4 Ge2 Sb1'
_cell_length_a 4.657
_cell_length_b 4.657
_cell_length_c 6.874
_cell_angle_alpha 70.20
_cell_angle_beta 70.20
_cell_angle_gamma 90.00
_space_group_name_H-M_alt 'P 1'
_space_group_IT_number 1
loop_
_space_group_symop_operation_xyz
'x,y,z'
loop_
_atom_site_label
_atom_site_type_symbol
_atom_site_fract_x
_atom_site_fract_y
_atom_site_fract_z
Ge1 Ge 0.612 0.612 0.776
Ni1 Ni 0.798 0.798 0.404
Ni2 Ni 0.000 0.500 0.000
Ge2 Ge 0.388 0.388 0.224
Sb1 Sb 0.000 0.000 0.000
Ni3 Ni 0.500 0.000 0.000
Ni4 Ni 0.202 0.202 0.596
```

# 2
Below is crystalline Ni6GeSb at its relaxed geometry, with properties calculated at the PBE level.

Values from the calculation:
- calculated density (Mg/m³) = 9.292
- E_form (uncorrected) (eV/atom) = -0.210
- DOS at the Fermi energy (states/eV/cell) = 3.83
- SG = P4/mmm (123)
- total magnetic moment (μB/atom) = 0.000

CIF file:
```
data_Ni6GeSb
_chemical_formula_sum 'Ni6 Ge1 Sb1'
_cell_length_a 3.666
_cell_length_b 3.666
_cell_length_c 7.266
_cell_angle_alpha 90.00
_cell_angle_beta 90.00
_cell_angle_gamma 90.00
_space_group_name_H-M_alt 'P 1'
_space_group_IT_number 1
loop_
_space_group_symop_operation_xyz
'x,y,z'
loop_
_atom_site_label
_atom_site_type_symbol
_atom_site_fract_x
_atom_site_fract_y
_atom_site_fract_z
Sb1 Sb 0.000 0.000 0.000
Ge1 Ge 0.000 0.000 0.500
Ni1 Ni 0.500 0.500 0.000
Ni2 Ni 0.000 0.500 0.262
Ni3 Ni 0.500 0.000 0.738
Ni4 Ni 0.500 0.500 0.500
Ni5 Ni 0.500 0.000 0.262
Ni6 Ni 0.000 0.500 0.738
```

# 3
Below is crystalline Ni2Ge2Sb at its relaxed geometry, with properties calculated at the PBE level.

Values from the calculation:
- calculated density (Mg/m³) = 7.849
- polymorph energy (0 for the lowest one) (eV per atom) = 0.000
- E_form (uncorrected) (eV/atom) = -0.006
- DOS at the Fermi energy (states/eV/cell) = 3.25
- SG = I4/mmm (139)
- total magnetic moment (μB/atom) = 0.000

CIF file:
```
data_Ni2Ge2Sb
_chemical_formula_sum 'Ni2 Ge2 Sb1'
_cell_length_a 3.782
_cell_length_b 3.782
_cell_length_c 6.283
_cell_angle_alpha 72.48
_cell_angle_beta 72.48
_cell_angle_gamma 90.00
_space_group_name_H-M_alt 'P 1'
_space_group_IT_number 1
loop_
_space_group_symop_operation_xyz
'x,y,z'
loop_
_atom_site_label
_atom_site_type_symbol
_atom_site_fract_x
_atom_site_fract_y
_atom_site_fract_z
Sb1 Sb 0.000 0.000 0.000
Ge1 Ge 0.250 0.750 0.500
Ge2 Ge 0.750 0.250 0.500
Ni1 Ni 0.389 0.389 0.223
Ni2 Ni 0.611 0.611 0.777
```

# 4
Below is crystalline Ni8GeSb2 at its relaxed geometry, with properties calculated at the PBE level.

Values from the calculation:
- calculated density (Mg/m³) = 9.082
- polymorph energy (0 for the lowest one) (eV per atom) = 0.043
- E_form (uncorrected) (eV/atom) = -0.131
- DOS at the Fermi energy (states/eV/cell) = 9.73
- SG = C2/m (12)
- total magnetic moment (μB/atom) = 0.000

CIF file:
```
data_Ni8GeSb2
_chemical_formula_sum 'Ni8 Ge1 Sb2'
_cell_length_a 3.846
_cell_length_b 5.780
_cell_length_c 7.095
_cell_angle_alpha 108.12
_cell_angle_beta 105.72
_cell_angle_gamma 90.00
_space_group_name_H-M_alt 'P 1'
_space_group_IT_number 1
loop_
_space_group_symop_operation_xyz
'x,y,z'
loop_
_atom_site_label
_atom_site_type_symbol
_atom_site_fract_x
_atom_site_fract_y
_atom_site_fract_z
Ni1 Ni 0.847 0.794 0.693
Ni2 Ni 0.153 0.206 0.307
Ni3 Ni 0.419 0.560 0.837
Ni4 Ni 0.335 0.079 0.671
Ni5 Ni 0.028 0.755 0.056
Ni6 Ni 0.581 0.440 0.163
Ge1 Ge 0.500 0.000 0.000
Sb1 Sb 0.802 0.333 0.605
Sb2 Sb 0.198 0.667 0.395
Ni7 Ni 0.665 0.921 0.329
Ni8 Ni 0.972 0.245 0.944
```